# PrNpB12

An optimized crystal structure of PrNpB12 (PBE-GGA, Alexandria).

Unit cell a=4.1162 b=4.1162 c=8.2398 alpha=90.00 beta=90.00 gamma=90.00
Closest atoms and distances in Å follow each position.
Space group P4/mmm (No. 123)
Inequivalent atoms, fractional coordinates:
Pr 0.0000 0.0000 0.0000 (multiplicity 1)  24 B 3.03-3.04
Np 0.0000 0.0000 0.5000 (multiplicity 1)  24 B 3.01-3.02
B 0.1987 0.5000 0.2519 (multiplicity 8)  5 B 1.64-1.76
B 0.5000 0.5000 0.1004 (multiplicity 2)  5 B 1.66-1.76
B 0.5000 0.5000 0.4015 (multiplicity 2)  5 B 1.62-1.75

=====

# Np3B2Pt9

An optimized crystal structure of Np3B2Pt9 (PBE-GGA, Alexandria).

Unit cell a=5.5944 b=11.5558 c=14.6689 alpha=90.00 beta=90.00 gamma=90.00
Closest atoms and distances in Å follow each position.
Space group Cmcm (No. 63)
Inequivalent atoms, fractional coordinates:
Np 0.0000 0.0784 0.2500 (multiplicity 4)  6 Pt 2.84-3.17, 2 B 3.12
Np 0.0000 0.3085 0.5942 (multiplicity 8)  10 Pt 2.89-3.22, 2 B 3.13
B 0.0000 0.3031 0.1321 (multiplicity 8)  5 Pt 2.08-2.25
Pt 0.0000 0.1483 0.0594 (multiplicity 8)  1 B 2.08
Pt 0.0000 0.4640 0.7500 (multiplicity 4)  6 Pt 2.83-2.99, 4 Np 2.84-2.91
Pt 0.2454 0.4410 0.0849 (multiplicity 16)  1 B 2.21
Pt 0.2472 0.1765 0.7500 (multiplicity 8)  2 B 2.25

=====

# Np2BPt2Rh4

An optimized crystal structure of Np2BPt2Rh4 (PBE-GGA, Alexandria).

Unit cell a=5.9782 b=5.9782 c=8.0669 alpha=90.00 beta=90.00 gamma=90.00
Closest atoms and distances in Å follow each position.
Space group I4/mmm (No. 139)
Inequivalent atoms, fractional coordinates:
Np 0.0000 0.5000 0.2500 (multiplicity 4)  8 Rh 2.92, 4 Pt 2.99
B 0.0000 0.0000 0.0000 (multiplicity 2)  2 Pt 2.12, 4 Rh 2.13
Pt 0.0000 0.0000 0.2622 (multiplicity 4)  1 B 2.12
Rh 0.2479 0.2479 0.5000 (multiplicity 8)  1 B 2.13

=====

# Np2SiBPt6

An optimized crystal structure of Np2SiBPt6 (PBE-GGA, Alexandria).

Unit cell a=5.6815 b=8.5768 c=7.3080 alpha=90.00 beta=90.00 gamma=90.00
Closest atoms and distances in Å follow each position.
Space group Pmmn (No. 59, origin choice 2)
Inequivalent atoms, fractional coordinates:
Np 0.2500 0.0386 0.2133 (multiplicity 4)  9 Pt 3.01-3.27
Si 0.2500 0.7500 0.8110 (multiplicity 2)  6 Pt 2.42-2.63
B 0.2500 0.2500 0.7039 (multiplicity 2)  6 Pt 2.11-2.16
Pt 0.0005 0.2500 0.9210 (multiplicity 4)  1 B 2.13
Pt 0.0077 0.7500 0.5038 (multiplicity 4)  1 B 2.11
Pt 0.2500 0.0013 0.6591 (multiplicity 4)  1 B 2.16

=====

Ordered VASP energy results: -103.20, -457.24, -157.89, -159.82; unit eV per cell.